# CdSe2Br, relaxed, DFT PBE
# E_form (uncorrected): -0.117 eV per atom
# total moment: 0.000 μB/atom
# E: -2.506 eV per atom
data_CdSe2Br
_cell_length_a 4.2009
_cell_length_b 4.2009
_cell_length_c 23.8502
_cell_angle_alpha 90.00
_cell_angle_beta 90.00
_cell_angle_gamma 120.00
_symmetry_space_group_name_H-M 'R -3 m'
_symmetry_Int_Tables_number 166
_symmetry_space_group_name_Hall '-R 3 2"'
loop_
_atom_site_label
_atom_site_type_symbol
_atom_site_fract_x
_atom_site_fract_y
_atom_site_fract_z
_atom_site_occupancy
Cd1 Cd 0.0000 0.0000 0.0000 1
Se1 Se 0.0000 0.0000 0.3921 1
Br1 Br 0.0000 0.0000 0.5000 1

***

# Tm2AlSi3Pd4, relaxed, DFT PBE
# E_form (uncorrected): -0.889 eV per atom
# total moment: 0.000 μB/atom
# E: -5.862 eV per atom
data_Tm2AlSi3Pd4
_cell_length_a 4.114
_cell_length_b 4.114
_cell_length_c 10.240
_cell_angle_alpha 90.00
_cell_angle_beta 90.00
_cell_angle_gamma 90.00
_symmetry_space_group_name_H-M 'P -4 m 2'
_symmetry_Int_Tables_number 115
_symmetry_space_group_name_Hall 'P -4 -2'
loop_
_atom_site_label
_atom_site_type_symbol
_atom_site_fract_x
_atom_site_fract_y
_atom_site_fract_z
_atom_site_occupancy
Tm1 Tm 0.000 0.500 0.248 1
Al1 Al 0.000 0.000 0.500 1
Si1 Si 0.000 0.500 0.868 1
Si2 Si 0.500 0.500 0.500 1
Pd1 Pd 0.000 0.000 0.000 1
Pd2 Pd 0.000 0.500 0.637 1
Pd3 Pd 0.500 0.500 0.000 1

***

# La2Nd8Sn, relaxed, DFT PBE
# total moment: 0.000 μB/atom
# E: -4.715 eV per atom
# calculated formation energy: 12.8 meV/atom
data_La2Nd8Sn
_cell_length_a 18.187
_cell_length_b 6.766
_cell_length_c 6.385
_cell_angle_alpha 90.00
_cell_angle_beta 105.38
_cell_angle_gamma 90.00
_symmetry_space_group_name_H-M 'C 1 2/m 1'
_symmetry_Int_Tables_number 12
_symmetry_space_group_name_Hall '-C 2y'
loop_
_atom_site_label
_atom_site_type_symbol
_atom_site_fract_x
_atom_site_fract_y
_atom_site_fract_z
_atom_site_occupancy
La1 La 0.232 0.000 0.362 1
Nd1 Nd 0.086 0.000 0.924 1
Nd2 Nd 0.086 0.264 0.445 1
Nd3 Nd 0.194 0.500 0.076 1
Sn1 Sn 0.000 0.500 0.000 1

***

# PmZn2PIr2, relaxed, DFT PBE
# total moment: 0.025 μB/atom
# E: -5.433 eV per atom
# calculated formation energy: -361.2 meV/atom
data_PmZn2PIr2
_cell_length_a 4.496
_cell_length_b 4.496
_cell_length_c 5.560
_cell_angle_alpha 90.00
_cell_angle_beta 90.00
_cell_angle_gamma 90.00
_symmetry_space_group_name_H-M 'P 4/m m m'
_symmetry_Int_Tables_number 123
_symmetry_space_group_name_Hall '-P 4 2'
loop_
_atom_site_label
_atom_site_type_symbol
_atom_site_fract_x
_atom_site_fract_y
_atom_site_fract_z
_atom_site_occupancy
Pm1 Pm 0.000 0.000 0.000 1
Zn1 Zn 0.500 0.500 0.226 1
P1 P 0.000 0.000 0.500 1
Ir1 Ir 0.000 0.500 0.500 1

***

# BaBeTc2O8, relaxed, DFT PBE
# E_form (uncorrected): -1.743 eV per atom
# total moment: 0.169 μB/atom
# E: -7.247 eV per atom
data_BaBeTc2O8
_cell_length_a 8.562
_cell_length_b 5.624
_cell_length_c 7.694
_cell_angle_alpha 90.00
_cell_angle_beta 94.87
_cell_angle_gamma 90.00
_symmetry_space_group_name_H-M 'C 1 2/m 1'
_symmetry_Int_Tables_number 12
_symmetry_space_group_name_Hall '-C 2y'
loop_
_atom_site_label
_atom_site_type_symbol
_atom_site_fract_x
_atom_site_fract_y
_atom_site_fract_z
_atom_site_occupancy
Ba1 Ba 0.000 0.000 0.000 1
Be1 Be 0.000 0.000 0.500 1
Tc1 Tc 0.132 0.500 0.299 1
O1 O 0.018 0.235 0.320 1
O2 O 0.185 0.500 0.078 1
O3 O 0.203 0.000 0.546 1

***

# PrEr2Pb, relaxed, DFT PBE
# total moment: 0.014 μB/atom
# E: -4.679 eV per atom
# calculated formation energy: -275.8 meV/atom
data_PrEr2Pb
_cell_length_a 4.923
_cell_length_b 4.923
_cell_length_c 4.857
_cell_angle_alpha 90.00
_cell_angle_beta 90.00
_cell_angle_gamma 90.00
_symmetry_space_group_name_H-M 'P 4/m m m'
_symmetry_Int_Tables_number 123
_symmetry_space_group_name_Hall '-P 4 2'
loop_
_atom_site_label
_atom_site_type_symbol
_atom_site_fract_x
_atom_site_fract_y
_atom_site_fract_z
_atom_site_occupancy
Pr1 Pr 0.000 0.000 0.000 1
Er1 Er 0.000 0.500 0.500 1
Pb1 Pb 0.500 0.500 0.000 1

***

Question: E of number 3 (La2Nd8Sn)?
Answer: -4.715 eV per atom

***

Copy entry 1 word for word.
# CdSe2Br, relaxed, DFT PBE
# E_form (uncorrected): -0.117 eV per atom
# total moment: 0.000 μB/atom
# E: -2.506 eV per atom
data_CdSe2Br
_cell_length_a 4.2009
_cell_length_b 4.2009
_cell_length_c 23.8502
_cell_angle_alpha 90.00
_cell_angle_beta 90.00
_cell_angle_gamma 120.00
_symmetry_space_group_name_H-M 'R -3 m'
_symmetry_Int_Tables_number 166
_symmetry_space_group_name_Hall '-R 3 2"'
loop_
_atom_site_label
_atom_site_type_symbol
_atom_site_fract_x
_atom_site_fract_y
_atom_site_fract_z
_atom_site_occupancy
Cd1 Cd 0.0000 0.0000 0.0000 1
Se1 Se 0.0000 0.0000 0.3921 1
Br1 Br 0.0000 0.0000 0.5000 1

***

Repeat the second record exactly.
# Tm2AlSi3Pd4, relaxed, DFT PBE
# E_form (uncorrected): -0.889 eV per atom
# total moment: 0.000 μB/atom
# E: -5.862 eV per atom
data_Tm2AlSi3Pd4
_cell_length_a 4.114
_cell_length_b 4.114
_cell_length_c 10.240
_cell_angle_alpha 90.00
_cell_angle_beta 90.00
_cell_angle_gamma 90.00
_symmetry_space_group_name_H-M 'P -4 m 2'
_symmetry_Int_Tables_number 115
_symmetry_space_group_name_Hall 'P -4 -2'
loop_
_atom_site_label
_atom_site_type_symbol
_atom_site_fract_x
_atom_site_fract_y
_atom_site_fract_z
_atom_site_occupancy
Tm1 Tm 0.000 0.500 0.248 1
Al1 Al 0.000 0.000 0.500 1
Si1 Si 0.000 0.500 0.868 1
Si2 Si 0.500 0.500 0.500 1
Pd1 Pd 0.000 0.000 0.000 1
Pd2 Pd 0.000 0.500 0.637 1
Pd3 Pd 0.500 0.500 0.000 1

***

Question: Look up the total moment of the second one.
Answer: 0.000 μB/atom